Here is an optimized crystal structure of VNi3Mo from the Alexandria database. Energies are from GGA-PBE.

Lattice parameters (Å, degrees): 4.393 4.160 7.524 106.05 97.81 90.00
Fractional positions:
V  0.365  0.129  0.258
Mo  0.981  0.601  0.203
Ni  0.235  0.967  0.934
V  0.635  0.871  0.742
Mo  0.019  0.399  0.797
Ni  0.548  0.698  0.396
Ni  0.896  0.214  0.427
Ni  0.104  0.786  0.573
Ni  0.765  0.033  0.066
Ni  0.452  0.302  0.604

Output
Its density of states at the Fermi level is 8.33 states/eV/cell. The calculation puts the total magnetization at 0.000 μB per cell. The value obtained for the relative energy among the computed polymorphs is 0 meV per atom. Its total energy is -7.3348 eV per atom.